# 1
# PBE Tl2ZnBr, optimized geometry
# - Polymorph energy (0 for the lowest one): 0.057 eV/atom
# - DOS(E_F): 1.6 states/eV per cell
# - Total DFT energy (no corrections): -2.068 eV per atom
# - Energy relative to the elements, uncorrected: -14.3 kJ/mol of atoms
data_Tl2ZnBr
_chemical_formula_sum 'Tl4 Zn2 Br2'
_cell_length_a 3.874
_cell_length_b 6.110
_cell_length_c 9.735
_cell_angle_alpha 90.00
_cell_angle_beta 90.00
_cell_angle_gamma 90.00
_symmetry_space_group_name_H-M 'C m m 2'
_symmetry_Int_Tables_number 35
loop_
_symmetry_equiv_pos_as_xyz
'x,y,z'
'-x,-y,z'
'-x,y,z'
'x,-y,z'
'x+1/2,y+1/2,z'
'-x+1/2,-y+1/2,z'
'-x+1/2,y+1/2,z'
'x+1/2,-y+1/2,z'
loop_
_atom_site_label
_atom_site_type_symbol
_atom_site_fract_x
_atom_site_fract_y
_atom_site_fract_z
Tl1 Tl 0.000 0.000 0.000
Tl2 Tl 0.000 0.500 0.299
Zn1 Zn 0.000 0.000 0.526
Br1 Br 0.000 0.500 0.709

# 2
# PBE TlZnBr2, optimized geometry
# - Polymorph energy (0 for the lowest one): 0.186 eV/atom
# - DOS(E_F): 1.8 states/eV per cell
# - Total DFT energy (no corrections): -2.075 eV per atom
# - Energy relative to the elements, uncorrected: -31.7 kJ/mol of atoms
data_TlZnBr2
_chemical_formula_sum 'Tl1 Zn1 Br2'
_cell_length_a 3.941
_cell_length_b 4.923
_cell_length_c 6.107
_cell_angle_alpha 90.00
_cell_angle_beta 90.00
_cell_angle_gamma 90.00
_symmetry_space_group_name_H-M 'P m m m'
_symmetry_Int_Tables_number 47
loop_
_symmetry_equiv_pos_as_xyz
'x,y,z'
'-x,-y,-z'
'-x,-y,z'
'x,y,-z'
'x,-y,-z'
'-x,y,z'
'-x,y,-z'
'x,-y,z'
loop_
_atom_site_label
_atom_site_type_symbol
_atom_site_fract_x
_atom_site_fract_y
_atom_site_fract_z
Tl1 Tl 0.000 0.000 0.000
Zn1 Zn 0.000 0.500 0.500
Br1 Br 0.500 0.000 0.500
Br2 Br 0.500 0.500 0.000

# 3
# PBE Tl2ZnBr, optimized geometry
# - Polymorph energy (0 for the lowest one): 0.020 eV/atom
# - DOS(E_F): 4.6 states/eV per cell
# - Total DFT energy (no corrections): -2.104 eV per atom
# - Energy relative to the elements, uncorrected: -17.8 kJ/mol of atoms
data_Tl2ZnBr
_chemical_formula_sum 'Tl6 Zn3 Br3'
_cell_length_a 4.0333
_cell_length_b 4.0333
_cell_length_c 26.4048
_cell_angle_alpha 90.00
_cell_angle_beta 90.00
_cell_angle_gamma 120.00
_symmetry_space_group_name_H-M 'R -3 m'
_symmetry_Int_Tables_number 166
_symmetry_space_group_name_Hall '-R 3 2"'
loop_
_atom_site_label
_atom_site_type_symbol
_atom_site_fract_x
_atom_site_fract_y
_atom_site_fract_z
Tl1 Tl 0.0000 0.0000 0.2470
Zn1 Zn 0.0000 0.0000 0.5000
Br1 Br 0.0000 0.0000 0.0000

# 4
# PBE TlZnBr, optimized geometry
# - Polymorph energy (0 for the lowest one): 0.068 eV/atom
# - Total DFT energy (no corrections): -1.965 eV per atom
# - Energy relative to the elements, uncorrected: -18.7 kJ/mol of atoms
data_TlZnBr
_chemical_formula_sum 'Tl4 Zn4 Br4'
_cell_length_a 7.342
_cell_length_b 7.342
_cell_length_c 7.342
_cell_angle_alpha 90.00
_cell_angle_beta 90.00
_cell_angle_gamma 90.00
_symmetry_space_group_name_H-M 'F -4 3 m'
_symmetry_Int_Tables_number 216
_symmetry_space_group_name_Hall 'F -4 2 3'
loop_
_atom_site_label
_atom_site_type_symbol
_atom_site_fract_x
_atom_site_fract_y
_atom_site_fract_z
Tl1 Tl 0.000 0.000 0.000
Zn1 Zn 0.250 0.250 0.250
Br1 Br 0.000 0.000 0.500

Copy entry 2 word for word.
# PBE TlZnBr2, optimized geometry
# - Polymorph energy (0 for the lowest one): 0.186 eV/atom
# - DOS(E_F): 1.8 states/eV per cell
# - Total DFT energy (no corrections): -2.075 eV per atom
# - Energy relative to the elements, uncorrected: -31.7 kJ/mol of atoms
data_TlZnBr2
_chemical_formula_sum 'Tl1 Zn1 Br2'
_cell_length_a 3.941
_cell_length_b 4.923
_cell_length_c 6.107
_cell_angle_alpha 90.00
_cell_angle_beta 90.00
_cell_angle_gamma 90.00
_symmetry_space_group_name_H-M 'P m m m'
_symmetry_Int_Tables_number 47
loop_
_symmetry_equiv_pos_as_xyz
'x,y,z'
'-x,-y,-z'
'-x,-y,z'
'x,y,-z'
'x,-y,-z'
'-x,y,z'
'-x,y,-z'
'x,-y,z'
loop_
_atom_site_label
_atom_site_type_symbol
_atom_site_fract_x
_atom_site_fract_y
_atom_site_fract_z
Tl1 Tl 0.000 0.000 0.000
Zn1 Zn 0.000 0.500 0.500
Br1 Br 0.500 0.000 0.500
Br2 Br 0.500 0.500 0.000

Please write out number 4 again, unchanged.
# PBE TlZnBr, optimized geometry
# - Polymorph energy (0 for the lowest one): 0.068 eV/atom
# - Total DFT energy (no corrections): -1.965 eV per atom
# - Energy relative to the elements, uncorrected: -18.7 kJ/mol of atoms
data_TlZnBr
_chemical_formula_sum 'Tl4 Zn4 Br4'
_cell_length_a 7.342
_cell_length_b 7.342
_cell_length_c 7.342
_cell_angle_alpha 90.00
_cell_angle_beta 90.00
_cell_angle_gamma 90.00
_symmetry_space_group_name_H-M 'F -4 3 m'
_symmetry_Int_Tables_number 216
_symmetry_space_group_name_Hall 'F -4 2 3'
loop_
_atom_site_label
_atom_site_type_symbol
_atom_site_fract_x
_atom_site_fract_y
_atom_site_fract_z
Tl1 Tl 0.000 0.000 0.000
Zn1 Zn 0.250 0.250 0.250
Br1 Br 0.000 0.000 0.500

What is the formula in the fourth record?
TlZnBr